Entry 1:
The following is a DFT calculation (SCAN) of a crystal of K2NaAlCl6 relaxed with PBEsol.

Properties
DOS(E_F) = 0.00 states/eV/cell
Density = 2.282 g/cm³
DFT total energy = -0.708 Ry/atom

a b c (Å): 9.974 9.974 9.974
angles (deg): 90.00 90.00 90.00
Space group Fm-3m (No. 225)
One atom of each set of equivalent atoms:
K1 0.250 0.250 0.250
Na1 0.000 0.000 0.000
Al1 0.000 0.000 0.500
Cl1 0.000 0.000 0.268



Entry 2:
The following is a DFT calculation (SCAN) of a crystal of KAlP2Cl relaxed with PBEsol.

Properties
DOS(E_F) = 1.85 states/eV/cell
Density = 1.432 g/cm³
DFT total energy = -0.582 Ry/atom

a b c (Å): 5.881 5.881 5.481
angles (deg): 90.00 90.00 90.00
Space group P4/mmm (No. 123)
One atom of each set of equivalent atoms:
K1 0.000 0.000 0.000
Al1 0.500 0.500 0.500
P1 0.000 0.500 0.000
Cl1 0.000 0.000 0.500